Entry 1:
# SmFe2Sb2 (PBE, relaxed)
# crystal system: tetragonal
data_SmFe2Sb2
_symmetry_space_group_name_H-M 'P 4/n m m'
_symmetry_Int_Tables_number 129
_cell_length_a 4.377
_cell_length_b 4.377
_cell_length_c 10.414
_cell_angle_alpha 90.00
_cell_angle_beta 90.00
_cell_angle_gamma 90.00
loop_
_symmetry_equiv_pos_as_xyz
'x,y,z'
'-x,-y,-z'
'-y+1/2,x,z'
'y+1/2,-x,-z'
'-x+1/2,-y+1/2,z'
'x+1/2,y+1/2,-z'
'y,-x+1/2,z'
'-y,x+1/2,-z'
'x+1/2,-y,-z'
'-x+1/2,y,z'
'-y,-x,-z'
'y,x,z'
'-x,y+1/2,-z'
'x,-y+1/2,z'
'y+1/2,x+1/2,-z'
'-y+1/2,-x+1/2,z'
loop_
_atom_site_label
_atom_site_fract_x
_atom_site_fract_y
_atom_site_fract_z
Sm1 0.250 0.250 0.242
Fe1 0.250 0.250 0.881
Fe2 0.250 0.750 0.500
Sb1 0.250 0.250 0.644
Sb2 0.250 0.750 0.000

Entry 2:
# LiScSiNi (PBE, relaxed)
# crystal system: cubic
# polymorph energy (0 for the lowest one): 0 meV per atom
data_LiScSiNi
_symmetry_space_group_name_H-M 'F -4 3 m'
_symmetry_Int_Tables_number 216
_symmetry_space_group_name_Hall 'F -4 2 3'
_cell_length_a 5.982
_cell_length_b 5.982
_cell_length_c 5.982
_cell_angle_alpha 90.00
_cell_angle_beta 90.00
_cell_angle_gamma 90.00
loop_
_atom_site_label
_atom_site_fract_x
_atom_site_fract_y
_atom_site_fract_z
Li1 0.000 0.000 0.000
Sc1 0.250 0.250 0.750
Si1 0.250 0.250 0.250
Ni1 0.000 0.000 0.500

Entry 3:
# TbErCSe (PBE, relaxed)
# crystal system: trigonal
data_TbErCSe
_symmetry_space_group_name_H-M 'P -3 m 1'
_symmetry_Int_Tables_number 164
_symmetry_space_group_name_Hall '-P 3 2"'
_cell_length_a 3.7500
_cell_length_b 3.7500
_cell_length_c 13.2443
_cell_angle_alpha 90.00
_cell_angle_beta 90.00
_cell_angle_gamma 120.00
loop_
_atom_site_label
_atom_site_fract_x
_atom_site_fract_y
_atom_site_fract_z
Tb1 0.3333 0.6667 0.3981
Er1 0.3333 0.6667 0.0984
C1 0.0000 0.0000 0.0000
C2 0.0000 0.0000 0.5000
Se1 0.3333 0.6667 0.7537

Entry 4:
# Sm2HfIn (PBE, relaxed)
# crystal system: tetragonal
data_Sm2HfIn
_symmetry_space_group_name_H-M 'P 4/m m m'
_symmetry_Int_Tables_number 123
_symmetry_space_group_name_Hall '-P 4 2'
_cell_length_a 4.718
_cell_length_b 4.718
_cell_length_c 4.776
_cell_angle_alpha 90.00
_cell_angle_beta 90.00
_cell_angle_gamma 90.00
loop_
_atom_site_label
_atom_site_fract_x
_atom_site_fract_y
_atom_site_fract_z
Sm1 0.000 0.500 0.000
Hf1 0.000 0.000 0.500
In1 0.500 0.500 0.500

Entry 5:
# Tb (PBE, relaxed)
# crystal system: trigonal
# polymorph energy (0 for the lowest one): 21 meV per atom
# formation energy: 0.02 eV/atom
data_Tb
_symmetry_space_group_name_H-M 'R -3 m'
_symmetry_Int_Tables_number 166
_symmetry_space_group_name_Hall '-R 3 2"'
_cell_length_a 3.5694
_cell_length_b 3.5694
_cell_length_c 8.4669
_cell_angle_alpha 90.00
_cell_angle_beta 90.00
_cell_angle_gamma 120.00
loop_
_atom_site_label
_atom_site_fract_x
_atom_site_fract_y
_atom_site_fract_z
Tb1 0.0000 0.0000 0.0000

Entry 6:
# Cs2Nb3Cl7O5 (PBE, relaxed)
# crystal system: monoclinic
data_Cs2Nb3Cl7O5
_symmetry_space_group_name_H-M 'C 1 2/c 1'
_symmetry_Int_Tables_number 15
_cell_length_a 17.242
_cell_length_b 9.017
_cell_length_c 11.202
_cell_angle_alpha 90.00
_cell_angle_beta 109.56
_cell_angle_gamma 90.00
loop_
_symmetry_equiv_pos_as_xyz
'x,y,z'
'-x,-y,-z'
'-x,y,-z+1/2'
'x,-y,z+1/2'
'x+1/2,y+1/2,z'
'-x+1/2,-y+1/2,-z'
'-x+1/2,y+1/2,-z+1/2'
'x+1/2,-y+1/2,z+1/2'
loop_
_atom_site_label
_atom_site_fract_x
_atom_site_fract_y
_atom_site_fract_z
Cs1 0.202 0.044 0.355
Nb1 0.000 0.464 0.250
Nb2 0.003 0.213 0.974
Cl1 0.000 0.093 0.750
Cl2 0.147 0.209 0.617
Cl3 0.148 0.436 0.325
Cl4 0.151 0.216 0.038
O1 0.000 0.000 0.000
O2 0.000 0.287 0.124
O3 0.000 0.398 0.625

Computed raw total energy, in the same sequence as the records: -61.8, -87.2, -53.0, -22.5, -13.8, -415.9 eV per cell.